The following is a DFT calculation (PBE) of an optimized crystal structure of ThAl6Ir3.

The space group is P2_1/m (No. 11) and the conventional cell measures 8.066, 4.271 and 10.169 Å, with angles of 90.00, 94.87 and 90.00 degrees. The inequivalent atoms are Th at (0.066, 0.250, 0.238), Al at (0.096, 0.250, 0.565), Al at (0.217, 0.750, 0.028), Al at (0.312, 0.750, 0.734), Al at (0.365, 0.750, 0.280), Al at (0.413, 0.250, 0.445), Al at (0.419, 0.250, 0.911), Ir at (0.103, 0.250, 0.922), Ir at (0.236, 0.750, 0.493) and Ir at (0.405, 0.250, 0.156).

The value obtained for the spin magnetization is 0.00 μB/f.u. Its density of states at the Fermi level is 0.2703 states/eV per atom. The value obtained for the electronic total energy is -6.37 eV/atom.